(1)
{
  "formula": "ThBePt",
  "functional": "GGA-PBE",
  "state": "optimized geometry",
  "lattice_angstrom": [[0.000, 3.265, 3.265], [3.265, 0.000, 3.265], [3.265, 3.265, 0.000]],
  "species": ["Be", "Pt", "Th"],
  "fractional_positions": [[0.250, 0.250, 0.250], [0.000, 0.000, 0.000], [0.750, 0.750, 0.750]],
  "volume_a3_per_fu": 69.6
}

(2)
{
  "formula": "ThBePt",
  "functional": "GGA-PBE",
  "state": "optimized geometry",
  "lattice_angstrom": [[0.000, 3.129, 3.129], [3.129, 0.000, 3.129], [3.129, 3.129, 0.000]],
  "species": ["Be", "Pt", "Th"],
  "fractional_positions": [[0.000, 0.000, 0.000], [0.250, 0.250, 0.250], [0.750, 0.750, 0.750]],
  "volume_a3_per_fu": 61.3
}

(3)
{
  "formula": "Be2TlPt",
  "functional": "GGA-PBE",
  "state": "optimized geometry",
  "lattice_angstrom": [[-2.243, 2.333, 2.963], [-3.597, 2.203, -1.209], [-3.955, -1.361, 1.326]],
  "species": ["Be", "Be", "Pt", "Tl"],
  "fractional_positions": [[0.000, 0.000, 0.000], [0.750, 0.750, 0.750], [0.250, 0.250, 0.250], [0.500, 0.500, 0.500]],
  "volume_a3_per_fu": 59.7
}

(4)
{
  "formula": "Be2TlPt2",
  "functional": "GGA-PBE",
  "state": "optimized geometry",
  "lattice_angstrom": [[-3.589, 3.918, 4.006], [-6.351, 0.324, 1.960], [5.486, -3.612, -1.062]],
  "species": ["Be", "Be", "Pt", "Pt", "Tl"],
  "fractional_positions": [[0.750, 0.250, 0.500], [0.250, 0.750, 0.500], [0.372, 0.372, 0.000], [0.628, 0.628, 0.000], [0.000, 0.000, 0.000]],
  "volume_a3_per_fu": 76.3
}

(5)
{
  "formula": "TmBePt",
  "functional": "GGA-PBE",
  "state": "optimized geometry",
  "lattice_angstrom": [[0.000, 3.126, 3.126], [3.126, 0.000, 3.126], [3.126, 3.126, 0.000]],
  "species": ["Be", "Pt", "Tm"],
  "fractional_positions": [[0.250, 0.250, 0.250], [0.000, 0.000, 0.000], [0.750, 0.750, 0.750]],
  "volume_a3_per_fu": 61.1
}

(6)
{
  "formula": "TmBePt",
  "functional": "GGA-PBE",
  "state": "optimized geometry",
  "lattice_angstrom": [[0.000, 2.997, 2.997], [2.997, 0.000, 2.997], [2.997, 2.997, 0.000]],
  "species": ["Be", "Pt", "Tm"],
  "fractional_positions": [[0.000, 0.000, 0.000], [0.250, 0.250, 0.250], [0.750, 0.750, 0.750]],
  "volume_a3_per_fu": 53.8
}

Number 1: E -6.109 eV per atom. Number 2: E -6.076 eV per atom. Number 3: E -3.565 eV per atom. Number 4: E -4.732 eV per atom. Number 5: E -5.259 eV per atom. Number 6: E -5.226 eV per atom.